(1)
DFT (GGA-PBE) results for a relaxed structure of PmTh2Al9.

The structure in CIF format:
```
data_PmTh2Al9
_chemical_formula_sum 'Pm3 Th6 Al27'
_space_group_name_H-M_alt 'R -3 m'
_space_group_IT_number 166
_space_group_name_Hall '-R 3 2"'
_cell_length_a 5.6766
_cell_length_b 5.6766
_cell_length_c 26.6441
_cell_angle_alpha 90.00
_cell_angle_beta 90.00
_cell_angle_gamma 120.00
loop_
_atom_site_label
_atom_site_type_symbol
_atom_site_fract_x
_atom_site_fract_y
_atom_site_fract_z
Pm1 Pm 0.0000 0.0000 0.0000
Th1 Th 0.0000 0.0000 0.1424
Al1 Al 0.0000 0.0000 0.3351
Al2 Al 0.0000 0.0000 0.5000
Al3 Al 0.0069 0.5034 0.9172
```

Computed properties:
N(E_F) = 21.11 states/eV per cell
ΔH_f (0 K) = -32 kJ/mol of atoms
Density = 5.708 g/cm³

(2)
DFT (GGA-PBE) results for a relaxed structure of K2RbHoBr6.

The structure in CIF format:
```
data_K2RbHoBr6
_chemical_formula_sum 'K4 Rb2 Ho2 Br12'
_space_group_name_H-M_alt 'P 1 21/c 1'
_space_group_IT_number 14
_cell_length_a 7.949
_cell_length_b 8.510
_cell_length_c 13.924
_cell_angle_alpha 90.00
_cell_angle_beta 124.30
_cell_angle_gamma 90.00
loop_
_space_group_symop_operation_xyz
'x,y,z'
'-x,-y,-z'
'-x,y+1/2,-z+1/2'
'x,-y+1/2,z+1/2'
loop_
_atom_site_label
_atom_site_type_symbol
_atom_site_fract_x
_atom_site_fract_y
_atom_site_fract_z
K1 K 0.211 0.082 0.245
Rb1 Rb 0.000 0.000 0.500
Ho1 Ho 0.500 0.000 0.000
Br1 Br 0.153 0.173 0.936
Br2 Br 0.262 0.725 0.917
Br3 Br 0.422 0.061 0.780
```

Computed properties:
N(E_F) = 0.00 states/eV per cell
Energy relative to the elements, uncorrected = -1.8251 eV/atom
Density = 3.449 g/cm³

(3)
DFT (GGA-PBE) results for a relaxed structure of Si2AgF.

The structure in CIF format:
```
data_Si2AgF
_chemical_formula_sum 'Si8 Ag4 F4'
_space_group_name_H-M_alt 'I -4 2 d'
_space_group_IT_number 122
_space_group_name_Hall 'I -4 2bw'
_cell_length_a 3.937
_cell_length_b 3.937
_cell_length_c 16.890
_cell_angle_alpha 90.00
_cell_angle_beta 90.00
_cell_angle_gamma 90.00
loop_
_atom_site_label
_atom_site_type_symbol
_atom_site_fract_x
_atom_site_fract_y
_atom_site_fract_z
Si1 Si 0.183 0.250 0.125
Ag1 Ag 0.000 0.000 0.500
F1 F 0.000 0.000 0.000
```

Computed properties:
N(E_F) = 7.58 states/eV per cell
Energy relative to the elements, uncorrected = -0.1006 eV/atom
Density = 4.643 g/cm³
Offset from the most stable computed form = 0 meV/atom

(4)
DFT (GGA-PBE) results for a relaxed structure of ScAl2Cu3.

The structure in CIF format:
```
data_ScAl2Cu3
_chemical_formula_sum 'Sc2 Al4 Cu6'
_space_group_name_H-M_alt 'P 63/m m c'
_space_group_IT_number 194
_space_group_name_Hall '-P 6c 2c'
_cell_length_a 4.1830
_cell_length_b 4.1830
_cell_length_c 11.7540
_cell_angle_alpha 90.00
_cell_angle_beta 90.00
_cell_angle_gamma 120.00
loop_
_atom_site_label
_atom_site_type_symbol
_atom_site_fract_x
_atom_site_fract_y
_atom_site_fract_z
Sc1 Sc 0.0000 0.0000 0.2500
Al1 Al 0.3333 0.6667 0.0809
Cu1 Cu 0.0000 0.0000 0.0000
Cu2 Cu 0.3333 0.6667 0.6386
```

Computed properties:
N(E_F) = 6.05 states/eV per cell
ΔH_f (0 K) = -33 kJ/mol of atoms
Density = 5.399 g/cm³

(5)
DFT (GGA-PBE) results for a relaxed structure of Na2AlBiTe4.

The structure in CIF format:
```
data_Na2AlBiTe4
_chemical_formula_sum 'Na4 Al2 Bi2 Te8'
_space_group_name_H-M_alt 'I -4 2 m'
_space_group_IT_number 121
_space_group_name_Hall 'I -4 2'
_cell_length_a 8.296
_cell_length_b 8.296
_cell_length_c 7.483
_cell_angle_alpha 90.00
_cell_angle_beta 90.00
_cell_angle_gamma 90.00
loop_
_atom_site_label
_atom_site_type_symbol
_atom_site_fract_x
_atom_site_fract_y
_atom_site_fract_z
Na1 Na 0.000 0.500 0.000
Al1 Al 0.000 0.000 0.000
Bi1 Bi 0.000 0.000 0.500
Te1 Te 0.184 0.184 0.791
```

Computed properties:
Energy relative to the elements, uncorrected = -0.5343 eV/atom
Density = 5.109 g/cm³

(6)
DFT (GGA-PBE) results for a relaxed structure of AcDyPd2.

The structure in CIF format:
```
data_AcDyPd2
_chemical_formula_sum 'Ac3 Dy3 Pd6'
_space_group_name_H-M_alt 'R 3 m'
_space_group_IT_number 160
_space_group_name_Hall 'R 3 -2"'
_cell_length_a 4.1856
_cell_length_b 4.1856
_cell_length_c 21.6675
_cell_angle_alpha 90.00
_cell_angle_beta 90.00
_cell_angle_gamma 120.00
loop_
_atom_site_label
_atom_site_type_symbol
_atom_site_fract_x
_atom_site_fract_y
_atom_site_fract_z
Ac1 Ac 0.0000 0.0000 0.0000
Dy1 Dy 0.0000 0.0000 0.1734
Pd1 Pd 0.0000 0.0000 0.5787
Pd2 Pd 0.0000 0.0000 0.7615
```

Computed properties:
N(E_F) = 9.62 states/eV per cell
ΔH_f (0 K) = -65 kJ/mol of atoms
Density = 9.127 g/cm³
Offset from the most stable computed form = 151 meV/atom